{
  "formula": "CaTcPt2",
  "functional": "PBE",
  "state": "optimized geometry",
  "relative_energy_mev_per_atom": 544.1,
  "formation_energy_mev_per_atom": 252.3,
  "cell": [[4.973, 0.000, 0.000], [0.000, 4.973, 0.000], [2.487, 2.487, 8.274]],
  "species": ["Pt", "Pt", "Pt", "Pt", "Ca", "Ca", "Tc", "Tc"],
  "fractional_positions": [[0.954, 0.625, 0.250], [0.796, 0.125, 0.250], [0.875, 0.046, 0.750], [0.375, 0.204, 0.750], [0.500, 0.500, 0.000], [0.250, 0.750, 0.500], [0.750, 0.250, 0.500], [0.000, 0.000, 0.000]]
}

***

{
  "formula": "Cs",
  "functional": "PBE",
  "state": "optimized geometry",
  "relative_energy_mev_per_atom": 8.9,
  "formation_energy_mev_per_atom": 8.9,
  "cell": [[-8.103, -5.159, 1.626], [3.898, -3.538, 8.198], [-3.751, 7.469, 5.006]],
  "species": ["Cs", "Cs", "Cs", "Cs", "Cs", "Cs", "Cs", "Cs"],
  "fractional_positions": [[0.500, 0.000, 0.250], [0.500, 0.500, 0.500], [0.750, 0.500, 0.000], [0.250, 0.500, 0.000], [0.500, 0.000, 0.750], [0.000, 0.000, 0.000], [0.000, 0.250, 0.500], [0.000, 0.750, 0.500]]
}

***

{
  "formula": "TeWI2Br",
  "functional": "PBE",
  "state": "optimized geometry",
  "raw_formation_energy_ev_per_atom": 0.43,
  "relative_energy_mev_per_atom": 0.0,
  "cell": [[-4.063, 1.454, -3.395], [-3.693, -1.510, 3.773], [0.063, 4.859, 2.006]],
  "species": ["Br", "W", "I", "I", "Te"],
  "fractional_positions": [[0.500, 0.500, 0.500], [0.000, 0.000, 0.000], [0.500, 0.000, 0.000], [0.000, 0.500, 0.000], [0.000, 0.000, 0.500]]
}

***

{
  "formula": "SmLuInSn",
  "functional": "PBE",
  "state": "optimized geometry",
  "formation_energy_mev_per_atom": -470.1,
  "cell": [[-5.010, -1.132, 1.469], [-3.276, -2.509, -3.393], [-1.433, -5.063, 0.922]],
  "species": ["Sn", "Lu", "Sm", "In"],
  "fractional_positions": [[0.750, 0.750, 0.750], [0.000, 0.000, 0.000], [0.500, 0.500, 0.500], [0.250, 0.250, 0.250]]
}

***

{
  "formula": "TlGaGe2Se6",
  "functional": "PBE",
  "state": "optimized geometry",
  "raw_formation_energy_ev_per_atom": -0.32,
  "cell": [[-4.776, -3.084, -4.551], [-8.107, -3.800, 4.291], [-6.776, 6.152, -3.850]],
  "species": ["Se", "Se", "Se", "Se", "Se", "Se", "Se", "Se", "Se", "Se", "Se", "Se", "Ge", "Ge", "Ge", "Ge", "Ga", "Ga", "Tl", "Tl"],
  "fractional_positions": [[0.102, 0.603, 0.090], [0.884, 0.020, 0.168], [0.717, 0.407, 0.337], [0.616, 0.832, 0.980], [0.116, 0.980, 0.832], [0.783, 0.663, 0.593], [0.398, 0.910, 0.397], [0.217, 0.337, 0.407], [0.384, 0.168, 0.020], [0.283, 0.593, 0.663], [0.602, 0.090, 0.603], [0.898, 0.397, 0.910], [0.103, 0.368, 0.196], [0.897, 0.632, 0.804], [0.603, 0.196, 0.368], [0.397, 0.804, 0.632], [0.250, 0.175, 0.825], [0.750, 0.825, 0.175], [0.250, 0.684, 0.316], [0.750, 0.316, 0.684]]
}